{
  "formula": "TbPuNiHg",
  "functional": "PBE",
  "state": "optimized geometry",
  "lattice": [[7.196, 0.000, 0.000], [0.000, 7.196, 0.000], [0.000, 0.000, 7.196]],
  "species": ["Tb", "Tb", "Tb", "Tb", "Pu", "Pu", "Pu", "Pu", "Ni", "Ni", "Ni", "Ni", "Hg", "Hg", "Hg", "Hg"],
  "fractional_positions": [[0.000, 0.000, 0.000], [0.000, 0.500, 0.500], [0.500, 0.000, 0.500], [0.500, 0.500, 0.000], [0.000, 0.000, 0.500], [0.000, 0.500, 0.000], [0.500, 0.000, 0.000], [0.500, 0.500, 0.500], [0.250, 0.250, 0.250], [0.250, 0.750, 0.750], [0.750, 0.250, 0.750], [0.750, 0.750, 0.250], [0.250, 0.250, 0.750], [0.250, 0.750, 0.250], [0.750, 0.250, 0.250], [0.750, 0.750, 0.750]],
  "sg": "F-43m, No. 216",
  "crystal_system": "cubic",
  "m_tot_mub_per_fu": 5.54,
  "delta_e_f_mev_per_atom": -112
}